The following is a DFT calculation (PBE) of an optimized crystal structure of TbY7Mg4.

Properties
total DFT energy (no corrections)	-4.537	eV/atom
energy relative to the elements	0.151	eV/atom
calculated density	4.06	g cm⁻³

Cell: 5.750 9.091 8.073 Å, 69.08 69.14 71.56°
Fractional positions:
Tb 0.000 0.000 0.000
Y 0.796 0.879 0.529
Y 0.204 0.121 0.471
Y 0.078 0.578 0.266
Y 0.922 0.422 0.734
Y 0.253 0.706 0.788
Y 0.500 0.000 0.000
Y 0.747 0.294 0.212
Mg 0.542 0.301 0.616
Mg 0.458 0.699 0.384
Mg 0.675 0.656 0.993
Mg 0.325 0.344 0.007